#A
A relaxed structure of Pa2Ge3Os, computed with PBE-GGA.

a b c (Å): 8.4395 8.2681 5.7952
angles (deg): 71.30 68.12 40.57
Fractional positions:
1 Pa 0.2373 0.7627 0.7627
2 Pa 0.2500 0.2500 0.2500
3 Pa 0.7500 0.7500 0.7500
4 Pa 0.7627 0.2373 0.2373
5 Ge 0.1717 0.6601 0.3399
6 Ge 0.3299 0.3299 0.6701
7 Ge 0.3399 0.8283 0.1717
8 Ge 0.6601 0.1717 0.8283
9 Ge 0.6701 0.6701 0.3299
10 Ge 0.8283 0.3399 0.6601
11 Os 0.1612 0.1612 0.8388
12 Os 0.8388 0.8388 0.1612

Computed properties:
- magnetic moment (μB per formula unit) = 0.0



#B
A relaxed structure of Pa2Ge3Os, computed with PBE-GGA.

a b c (Å): 6.9485 6.9485 5.4988
angles (deg): 90.00 90.00 71.17
Fractional positions:
1 Pa 0.0681 0.6885 0.7500
2 Pa 0.3115 0.9319 0.7500
3 Pa 0.6885 0.0681 0.2500
4 Pa 0.9319 0.3115 0.2500
5 Ge 0.1412 0.8588 0.2500
6 Ge 0.3120 0.3120 0.0000
7 Ge 0.3120 0.3120 0.5000
8 Ge 0.6880 0.6880 0.0000
9 Ge 0.6880 0.6880 0.5000
10 Ge 0.8588 0.1412 0.7500
11 Os 0.4518 0.5482 0.2500
12 Os 0.5482 0.4518 0.7500

Computed properties:
- magnetic moment (μB per formula unit) = 1.2



Stability ranking, top and bottom: #A is the most stable and #B is the least stable.



#A
A relaxed structure of GeOs2Pb, computed with PBE-GGA.

a b c (Å): 4.5520 4.5520 4.5520
angles (deg): 60.00 60.00 60.00
Fractional positions:
1 Ge 0.0000 0.0000 0.0000
2 Os 0.2500 0.2500 0.2500
3 Os 0.7500 0.7500 0.7500
4 Pb 0.5000 0.5000 0.5000

Computed properties:
- magnetic moment (μB per formula unit) = 0.0



#B
A relaxed structure of GeOs2Pb, computed with PBE-GGA.

a b c (Å): 9.2712 9.2712 9.2712
angles (deg): 152.52 152.52 39.26
Fractional positions:
1 Ge 0.0000 0.0000 0.0000
2 Ge 0.7500 0.2500 0.5000
3 Os 0.0043 0.6250 0.8793
4 Os 0.3750 0.2543 0.3793
5 Os 0.7457 0.1250 0.1207
6 Os 0.8750 0.9957 0.6207
7 Pb 0.2500 0.7500 0.5000
8 Pb 0.5000 0.5000 0.0000

Computed properties:
- magnetic moment (μB per formula unit) = 0.0



Stability ranking, top and bottom: #A is the most stable and #B is the least stable.



#A
A relaxed structure of GeOs3Pb, computed with PBE-GGA.

a b c (Å): 4.6041 4.6041 4.6041
angles (deg): 90.00 90.00 90.00
Fractional positions:
1 Ge 0.0000 0.0000 0.0000
2 Os 0.0000 0.0000 0.5000
3 Os 0.0000 0.5000 0.0000
4 Os 0.5000 0.0000 0.0000
5 Pb 0.5000 0.5000 0.5000

Computed properties:
- magnetic moment (μB per formula unit) = 0.6



#B
A relaxed structure of GeOs3Pb, computed with PBE-GGA.

a b c (Å): 5.0113 5.0113 5.0113
angles (deg): 90.00 90.00 90.00
Fractional positions:
1 Ge 0.0000 0.0000 0.0000
2 Os 0.0000 0.5000 0.5000
3 Os 0.5000 0.0000 0.5000
4 Os 0.5000 0.5000 0.0000
5 Pb 0.5000 0.5000 0.5000

Computed properties:
- magnetic moment (μB per formula unit) = 4.5



Stability ranking, top and bottom: #A is the most stable and #B is the least stable.



#A
A relaxed structure of GeOs3Pd, computed with PBE-GGA.

a b c (Å): 4.4918 4.4918 4.4918
angles (deg): 90.00 90.00 90.00
Fractional positions:
1 Ge 0.0000 0.0000 0.0000
2 Os 0.0000 0.0000 0.5000
3 Os 0.0000 0.5000 0.0000
4 Os 0.5000 0.0000 0.0000
5 Pd 0.5000 0.5000 0.5000

Computed properties:
- magnetic moment (μB per formula unit) = 0.2



#B
A relaxed structure of GeOs3Pd, computed with PBE-GGA.

a b c (Å): 4.7434 4.7434 4.7434
angles (deg): 90.00 90.00 90.00
Fractional positions:
1 Ge 0.0000 0.0000 0.0000
2 Os 0.0000 0.5000 0.5000
3 Os 0.5000 0.0000 0.5000
4 Os 0.5000 0.5000 0.0000
5 Pd 0.5000 0.5000 0.5000

Computed properties:
- magnetic moment (μB per formula unit) = 4.4



Stability ranking, top and bottom: #A is the most stable and #B is the least stable.



#A
A relaxed structure of GeOsPd3, computed with PBE-GGA.

a b c (Å): 4.8167 4.8167 4.8167
angles (deg): 90.00 90.00 90.00
Fractional positions:
1 Ge 0.0000 0.0000 0.0000
2 Os 0.5000 0.5000 0.5000
3 Pd 0.0000 0.5000 0.5000
4 Pd 0.5000 0.0000 0.5000
5 Pd 0.5000 0.5000 0.0000

Computed properties:
- magnetic moment (μB per formula unit) = 0.0



#B
A relaxed structure of GeOsPd3, computed with PBE-GGA.

a b c (Å): 4.5645 4.5645 4.5645
angles (deg): 90.00 90.00 90.00
Fractional positions:
1 Ge 0.0000 0.0000 0.0000
2 Os 0.5000 0.5000 0.5000
3 Pd 0.0000 0.0000 0.5000
4 Pd 0.0000 0.5000 0.0000
5 Pd 0.5000 0.0000 0.0000

Computed properties:
- magnetic moment (μB per formula unit) = 3.0



Stability ranking, top and bottom: #B is the most stable and #A is the least stable.



#A
A relaxed structure of Pm3Ge8Os3, computed with PBE-GGA.

a b c (Å): 8.3312 8.3312 8.3312
angles (deg): 150.65 100.00 87.40
Fractional positions:
1 Pm 0.0000 0.0000 0.0000
2 Pm 0.3192 0.3192 0.0000
3 Pm 0.6808 0.6808 0.0000
4 Ge 0.0275 0.6569 0.3706
5 Ge 0.1786 0.8778 0.3008
6 Ge 0.2864 0.6569 0.6294
7 Ge 0.4229 0.1222 0.3008
8 Ge 0.5771 0.8778 0.6992
9 Ge 0.7136 0.3431 0.3706
10 Ge 0.8214 0.1222 0.6992
11 Ge 0.9725 0.3431 0.6294
12 Os 0.2911 0.5000 0.7911
13 Os 0.5000 0.0000 0.5000
14 Os 0.7089 0.5000 0.2089

Computed properties:
- magnetic moment (μB per formula unit) = 0.0



#B
A relaxed structure of Pm3Ge8Os3, computed with PBE-GGA.

a b c (Å): 8.2508 8.2508 8.5788
angles (deg): 117.48 117.48 31.47
Fractional positions:
1 Pm 0.0000 0.0000 0.0000
2 Pm 0.2883 0.2883 0.3292
3 Pm 0.7117 0.7117 0.6708
4 Ge 0.1248 0.1248 0.4020
5 Ge 0.1444 0.1444 0.8509
6 Ge 0.3626 0.3626 0.7520
7 Ge 0.4813 0.4813 0.3050
8 Ge 0.5187 0.5187 0.6950
9 Ge 0.6374 0.6374 0.2480
10 Ge 0.8556 0.8556 0.1491
11 Ge 0.8752 0.8752 0.5980
12 Os 0.0000 0.0000 0.5000
13 Os 0.3233 0.3233 0.9945
14 Os 0.6767 0.6767 0.0055

Computed properties:
- magnetic moment (μB per formula unit) = 0.0



Stability ranking, top and bottom: #B is the most stable and #A is the least stable.



#A
A relaxed structure of PmGe2Os, computed with PBE-GGA.

a b c (Å): 7.0654 4.3867 10.3142
angles (deg): 90.00 90.00 90.00
Fractional positions:
1 Pm 0.1725 0.2500 0.1275
2 Pm 0.3275 0.7500 0.6275
3 Pm 0.6725 0.2500 0.3725
4 Pm 0.8275 0.7500 0.8725
5 Ge 0.1294 0.2500 0.8216
6 Ge 0.1885 0.2500 0.4197
7 Ge 0.3115 0.7500 0.9197
8 Ge 0.3706 0.7500 0.3216
9 Ge 0.6294 0.2500 0.6784
10 Ge 0.6885 0.2500 0.0803
11 Ge 0.8115 0.7500 0.5803
12 Ge 0.8706 0.7500 0.1784
13 Os 0.0163 0.7500 0.3909
14 Os 0.4837 0.2500 0.8909
15 Os 0.5163 0.7500 0.1091
16 Os 0.9837 0.2500 0.6091

Computed properties:
- magnetic moment (μB per formula unit) = 0.0



#B
A relaxed structure of PmGe2Os, computed with PBE-GGA.

a b c (Å): 4.6984 4.6984 4.6984
angles (deg): 60.00 60.00 60.00
Fractional positions:
1 Pm 0.0000 0.0000 0.0000
2 Ge 0.2500 0.2500 0.2500
3 Ge 0.7500 0.7500 0.7500
4 Os 0.5000 0.5000 0.5000

Computed properties:
- magnetic moment (μB per formula unit) = 0.0



#C
A relaxed structure of PmGe2Os, computed with PBE-GGA.

a b c (Å): 6.1226 6.1226 5.8211
angles (deg): 105.10 105.10 119.63
Fractional positions:
1 Pm 0.1315 0.8685 0.7500
2 Pm 0.8685 0.1315 0.2500
3 Ge 0.1218 0.3975 0.9192
4 Ge 0.3975 0.1218 0.4192
5 Ge 0.6026 0.8782 0.5808
6 Ge 0.8782 0.6026 0.0808
7 Os 0.4652 0.5348 0.7500
8 Os 0.5348 0.4652 0.2500

Computed properties:
- magnetic moment (μB per formula unit) = 0.0



Stability ranking, top and bottom: #C is the most stable and #B is the least stable.



#A
A relaxed structure of PmGeOs, computed with PBE-GGA.

a b c (Å): 4.2957 4.2957 4.0067
angles (deg): 90.00 90.00 120.00
Fractional positions:
1 Pm 0.0000 0.0000 0.0000
2 Ge 0.6667 0.3333 0.5000
3 Os 0.3333 0.6667 0.5000

Computed properties:
- magnetic moment (μB per formula unit) = 0.0



#B
A relaxed structure of PmGeOs, computed with PBE-GGA.

a b c (Å): 4.9055 4.3938 6.3896
angles (deg): 90.00 90.00 90.00
Fractional positions:
1 Pm 0.2500 0.0000 0.2426
2 Pm 0.7500 0.0000 0.7574
3 Ge 0.2500 0.5000 0.8601
4 Ge 0.7500 0.5000 0.1399
5 Os 0.0000 0.5000 0.5000
6 Os 0.5000 0.5000 0.5000

Computed properties:
- magnetic moment (μB per formula unit) = 0.0



Stability ranking, top and bottom: #A is the most stable and #B is the least stable.



#A
A relaxed structure of PmGe3Os, computed with PBE-GGA.

a b c (Å): 5.9804 5.9804 5.9804
angles (deg): 136.58 136.58 63.09
Fractional positions:
1 Pm 0.0000 0.0000 0.0000
2 Ge 0.2382 0.7382 0.5000
3 Ge 0.5733 0.5733 0.0000
4 Ge 0.7382 0.2382 0.5000
5 Os 0.3407 0.3407 0.0000

Computed properties:
- magnetic moment (μB per formula unit) = 0.0



#B
A relaxed structure of PmGe3Os, computed with PBE-GGA.

a b c (Å): 8.9488 8.9488 5.2638
angles (deg): 96.49 96.49 86.46
Fractional positions:
1 Pm 0.0515 0.2422 0.0001
2 Pm 0.2422 0.0515 0.5001
3 Pm 0.7578 0.9485 0.4999
4 Pm 0.9485 0.7578 0.9999
5 Ge 0.1000 0.7524 0.5315
6 Ge 0.1798 0.5337 0.8503
7 Ge 0.2476 0.9000 0.9685
8 Ge 0.2840 0.4146 0.3696
9 Ge 0.4146 0.2840 0.8696
10 Ge 0.4663 0.8202 0.6497
11 Ge 0.5337 0.1798 0.3503
12 Ge 0.5854 0.7160 0.1304
13 Ge 0.7160 0.5854 0.6304
14 Ge 0.7524 0.1000 0.0315
15 Ge 0.8202 0.4663 0.1497
16 Ge 0.9000 0.2476 0.4685
17 Os 0.3203 0.6797 0.2500
18 Os 0.4513 0.5487 0.7500
19 Os 0.5487 0.4513 0.2500
20 Os 0.6797 0.3203 0.7500

Computed properties:
- magnetic moment (μB per formula unit) = 0.0



Stability ranking, top and bottom: #A is the most stable and #B is the least stable.



#A
A relaxed structure of GeOsPt, computed with PBE-GGA.

a b c (Å): 2.8873 2.8873 12.6366
angles (deg): 90.00 90.00 120.00
Fractional positions:
1 Ge 0.0000 0.0000 0.1559
2 Ge 0.0000 0.0000 0.8441
3 Os 0.3333 0.6667 0.0000
4 Os 0.3333 0.6667 0.5000
5 Pt 0.6667 0.3333 0.3277
6 Pt 0.6667 0.3333 0.6723

Computed properties:
- magnetic moment (μB per formula unit) = 0.0



#B
A relaxed structure of GeOsPt, computed with PBE-GGA.

a b c (Å): 4.5857 4.8542 4.8636
angles (deg): 62.50 83.20 75.36
Fractional positions:
1 Ge 0.0000 0.0000 0.0000
2 Ge 0.0935 0.6367 0.6483
3 Os 0.4976 0.8036 0.2396
4 Os 0.6031 0.4722 0.9075
5 Pt 0.0969 0.3871 0.2765
6 Pt 0.6372 0.1041 0.5847

Computed properties:
- magnetic moment (μB per formula unit) = 0.0



Stability ranking, top and bottom: #B is the most stable and #A is the least stable.



#A
A relaxed structure of GeOsPt, computed with PBE-GGA.

a b c (Å): 5.0978 5.0978 5.3483
angles (deg): 105.36 105.36 44.86
Fractional positions:
1 Ge 0.1884 0.1884 0.1363
2 Ge 0.8116 0.8116 0.8637
3 Os 0.1395 0.1395 0.6451
4 Os 0.8605 0.8605 0.3549
5 Pt 0.4544 0.4544 0.7263
6 Pt 0.5456 0.5456 0.2737

Computed properties:
- magnetic moment (μB per formula unit) = 0.0



#B
A relaxed structure of GeOsPt, computed with PBE-GGA.

a b c (Å): 5.0095 5.0095 5.0868
angles (deg): 114.89 114.89 55.96
Fractional positions:
1 Ge 0.1540 0.1540 0.4727
2 Ge 0.8460 0.8460 0.5273
3 Os 0.0109 0.5833 0.9394
4 Os 0.4167 0.9891 0.0606
5 Pt 0.4356 0.5644 0.5000
6 Pt 0.7044 0.2956 0.0000

Computed properties:
- magnetic moment (μB per formula unit) = 0.0



Stability ranking, top and bottom: #B is the most stable and #A is the least stable.